Density functional theory data (GGA-PBE) for crystalline HoTmInPd at its relaxed geometry.

Geometry as CIF:
```
data_HoTmInPd
_space_group_name_H-M_alt 'P 1'
_space_group_IT_number 1
_cell_length_a 5.114
_cell_length_b 5.114
_cell_length_c 5.114
_cell_angle_alpha 60.00
_cell_angle_beta 60.00
_cell_angle_gamma 60.00
loop_
_space_group_symop_operation_xyz
'x,y,z'
loop_
_atom_site_label
_atom_site_type_symbol
_atom_site_fract_x
_atom_site_fract_y
_atom_site_fract_z
_atom_site_occupancy
Ho1 Ho 0.000 0.000 0.000 1
Tm1 Tm 0.500 0.500 0.500 1
In1 In 0.250 0.250 0.250 1
Pd1 Pd 0.750 0.750 0.750 1
```

- SG: No. 216
- ρ: 9748 kg/m3
- E_tot: -19.5 eV for the cell shown
- Energy above the most stable polymorph in this dataset: 80 meV per atom

***

Density functional theory data (GGA-PBE) for crystalline HoTmInPd at its relaxed geometry.

Geometry as CIF:
```
data_HoTmInPd
_space_group_name_H-M_alt 'P 1'
_space_group_IT_number 1
_cell_length_a 3.492
_cell_length_b 3.492
_cell_length_c 7.719
_cell_angle_alpha 90.00
_cell_angle_beta 90.00
_cell_angle_gamma 90.00
loop_
_space_group_symop_operation_xyz
'x,y,z'
loop_
_atom_site_label
_atom_site_type_symbol
_atom_site_fract_x
_atom_site_fract_y
_atom_site_fract_z
_atom_site_occupancy
Ho1 Ho 0.000 0.000 0.000 1
Tm1 Tm 0.000 0.000 0.555 1
In1 In 0.500 0.500 0.279 1
Pd1 Pd 0.500 0.500 0.771 1
```

- SG: No. 99
- ρ: 9792 kg/m3
- E_tot: -19.8 eV for the cell shown
- Energy above the most stable polymorph in this dataset: 0 meV per atom

***

Density functional theory data (GGA-PBE) for crystalline HoZrInPd at its relaxed geometry.

Geometry as CIF:
```
data_HoZrInPd
_space_group_name_H-M_alt 'P 1'
_space_group_IT_number 1
_cell_length_a 5.015
_cell_length_b 5.015
_cell_length_c 5.015
_cell_angle_alpha 60.00
_cell_angle_beta 60.00
_cell_angle_gamma 60.00
loop_
_space_group_symop_operation_xyz
'x,y,z'
loop_
_atom_site_label
_atom_site_type_symbol
_atom_site_fract_x
_atom_site_fract_y
_atom_site_fract_z
_atom_site_occupancy
Ho1 Ho 0.000 0.000 0.000 1
Zr1 Zr 0.500 0.500 0.500 1
In1 In 0.750 0.750 0.750 1
Pd1 Pd 0.250 0.250 0.250 1
```

- SG: No. 216
- ρ: 8890 kg/m3
- E_tot: -22.7 eV for the cell shown

***

Density functional theory data (GGA-PBE) for crystalline Pm8HoIn2 at its relaxed geometry.

Geometry as CIF:
```
data_Pm8HoIn2
_space_group_name_H-M_alt 'P 1'
_space_group_IT_number 1
_cell_length_a 9.323
_cell_length_b 9.323
_cell_length_c 6.208
_cell_angle_alpha 102.12
_cell_angle_beta 102.12
_cell_angle_gamma 42.62
loop_
_space_group_symop_operation_xyz
'x,y,z'
loop_
_atom_site_label
_atom_site_type_symbol
_atom_site_fract_x
_atom_site_fract_y
_atom_site_fract_z
_atom_site_occupancy
Pm1 Pm 0.002 0.002 0.242 1
Pm2 Pm 0.068 0.588 0.390 1
Pm3 Pm 0.365 0.365 0.923 1
Pm4 Pm 0.412 0.932 0.610 1
Pm5 Pm 0.588 0.068 0.390 1
Pm6 Pm 0.635 0.635 0.077 1
Pm7 Pm 0.932 0.412 0.610 1
Pm8 Pm 0.998 0.998 0.758 1
Ho1 Ho 0.500 0.500 0.500 1
In1 In 0.179 0.179 0.104 1
In2 In 0.821 0.821 0.896 1
```

- SG: No. 12
- ρ: 7252 kg/m3
- E_tot: -49.0 eV for the cell shown

***

Density functional theory data (GGA-PBE) for crystalline Pm3HoIn3 at its relaxed geometry.

Geometry as CIF:
```
data_Pm3HoIn3
_space_group_name_H-M_alt 'P 1'
_space_group_IT_number 1
_cell_length_a 9.474
_cell_length_b 9.474
_cell_length_c 9.474
_cell_angle_alpha 90.00
_cell_angle_beta 90.00
_cell_angle_gamma 90.00
loop_
_space_group_symop_operation_xyz
'x,y,z'
loop_
_atom_site_label
_atom_site_type_symbol
_atom_site_fract_x
_atom_site_fract_y
_atom_site_fract_z
_atom_site_occupancy
Pm1 Pm 0.070 0.430 0.570 1
Pm2 Pm 0.171 0.829 0.329 1
Pm3 Pm 0.176 0.176 0.176 1
Pm4 Pm 0.324 0.824 0.676 1
Pm5 Pm 0.329 0.171 0.829 1
Pm6 Pm 0.430 0.570 0.070 1
Pm7 Pm 0.570 0.070 0.430 1
Pm8 Pm 0.671 0.671 0.671 1
Pm9 Pm 0.676 0.324 0.824 1
Pm10 Pm 0.824 0.676 0.324 1
Pm11 Pm 0.829 0.329 0.171 1
Pm12 Pm 0.930 0.930 0.930 1
Ho1 Ho 0.077 0.577 0.923 1
Ho2 Ho 0.423 0.423 0.423 1
Ho3 Ho 0.577 0.923 0.077 1
Ho4 Ho 0.923 0.077 0.577 1
In1 In 0.003 0.255 0.869 1
In2 In 0.131 0.503 0.245 1
In3 In 0.245 0.131 0.503 1
In4 In 0.255 0.869 0.003 1
In5 In 0.369 0.497 0.745 1
In6 In 0.497 0.745 0.369 1
In7 In 0.503 0.245 0.131 1
In8 In 0.631 0.997 0.755 1
In9 In 0.745 0.369 0.497 1
In10 In 0.755 0.631 0.997 1
In11 In 0.869 0.003 0.255 1
In12 In 0.997 0.755 0.631 1
```

- SG: No. 198
- ρ: 7377 kg/m3
- E_tot: -117.4 eV for the cell shown
- Energy above the most stable polymorph in this dataset: 0 meV per atom

***

Density functional theory data (GGA-PBE) for crystalline Pm12Ho3In at its relaxed geometry.

Geometry as CIF:
```
data_Pm12Ho3In
_space_group_name_H-M_alt 'P 1'
_space_group_IT_number 1
_cell_length_a 5.057
_cell_length_b 5.057
_cell_length_c 20.498
_cell_angle_alpha 90.00
_cell_angle_beta 90.00
_cell_angle_gamma 90.00
loop_
_space_group_symop_operation_xyz
'x,y,z'
loop_
_atom_site_label
_atom_site_type_symbol
_atom_site_fract_x
_atom_site_fract_y
_atom_site_fract_z
_atom_site_occupancy
Pm1 Pm 0.000 0.000 0.000 1
Pm2 Pm 0.000 0.000 0.247 1
Pm3 Pm 0.000 0.000 0.500 1
Pm4 Pm 0.000 0.000 0.753 1
Pm5 Pm 0.000 0.500 0.121 1
Pm6 Pm 0.000 0.500 0.374 1
Pm7 Pm 0.000 0.500 0.626 1
Pm8 Pm 0.000 0.500 0.879 1
Pm9 Pm 0.500 0.000 0.121 1
Pm10 Pm 0.500 0.000 0.374 1
Pm11 Pm 0.500 0.000 0.626 1
Pm12 Pm 0.500 0.000 0.879 1
Ho1 Ho 0.500 0.500 0.248 1
Ho2 Ho 0.500 0.500 0.500 1
Ho3 Ho 0.500 0.500 0.752 1
In1 In 0.500 0.500 0.000 1
```

- SG: No. 123
- ρ: 7442 kg/m3
- E_tot: -74.3 eV for the cell shown